Here is Li2CoSb after structural relaxation from Alexandria via LeMat-Bulk. Energies are from PBEsol.

Calculated values
E_form (uncorrected)	-0.0055	eV per atom
Fermi-level density of states	0.6659	states/eV per atom
magnetic moment	0.151	μB/atom

The structure in CIF format:
```
data_Li2CoSb
_cell_length_a 3.047
_cell_length_b 4.539
_cell_length_c 4.438
_cell_angle_alpha 90.00
_cell_angle_beta 99.87
_cell_angle_gamma 90.00
_space_group_name_H-M_alt 'P 1 2/m 1'
_space_group_IT_number 10
loop_
_space_group_symop_operation_xyz
'x,y,z'
'-x,-y,-z'
'-x,y,-z'
'x,-y,z'
loop_
_atom_site_label
_atom_site_type_symbol
_atom_site_fract_x
_atom_site_fract_y
_atom_site_fract_z
Li1 Li 0.230 0.000 0.268
Co1 Co 0.000 0.500 0.500
Sb1 Sb 0.500 0.500 0.000
```